Compound: TlMo2CSe
Source: Alexandria
Functional: PBE
Structure: relaxed

Energy relative to the elements, uncorrected in eV per formula unit: 13.096
Density of states at the Fermi level in states/eV per atom: 0.837

The structure in extended XYZ format:
```
5
Lattice="5.4305 0.0000 0.0000 0.0000 5.4305 0.0000 0.0000 0.0000 4.0563" Properties=species:S:1:pos:R:3 pbc="T T T"
Tl 0.0000 0.0000 0.0000
Mo 0.0000 2.7153 0.0000
Mo 2.7153 0.0000 0.0000
C 0.0000 0.0000 2.0282
Se 2.7153 2.7153 2.0282
```